Model A:
Density functional theory data (PBE-GGA) for an optimized crystal structure of NdNbAl2.

a b c (Å): 3.565 3.565 6.610
angles (deg): 90.00 90.00 90.00
Atoms (fractional coordinates):
Nb (0.500, 0.500, 0.000)
Nd (0.500, 0.500, 0.500)
Al (0.000, 0.000, 0.806)
Al (0.000, 0.000, 0.194)


Model B:
Density functional theory data (PBE-GGA) for an optimized crystal structure of NdNbAl2.

a b c (Å): 3.100 3.100 10.248
angles (deg): 81.30 81.30 60.00
Atoms (fractional coordinates):
Nb (0.000, 0.000, 0.000)
Nd (0.500, 0.500, 0.500)
Al (0.740, 0.740, 0.779)
Al (0.260, 0.260, 0.221)


The least stable of them is model B.


Model A:
Density functional theory data (PBE-GGA) for an optimized crystal structure of NbAlNi3.

a b c (Å): 4.525 4.525 4.525
angles (deg): 90.00 90.00 90.00
Atoms (fractional coordinates):
Ni (0.000, 0.500, 0.000)
Ni (0.000, 0.000, 0.500)
Ni (0.500, 0.000, 0.000)
Nb (0.000, 0.000, 0.000)
Al (0.500, 0.500, 0.500)


Model B:
Density functional theory data (PBE-GGA) for an optimized crystal structure of NbAlNi3.

a b c (Å): 4.203 4.203 4.203
angles (deg): 90.00 90.00 90.00
Atoms (fractional coordinates):
Ni (0.000, 0.500, 0.000)
Ni (0.000, 0.000, 0.500)
Ni (0.500, 0.000, 0.000)
Nb (0.500, 0.500, 0.500)
Al (0.000, 0.000, 0.000)


The least stable of them is model A.


Model A:
Density functional theory data (PBE-GGA) for an optimized crystal structure of NbAl2O2.

a b c (Å): 3.316 3.316 6.724
angles (deg): 75.72 75.72 90.00
Site moments in Bohr magnetons follow the coordinates.
Atoms (fractional coordinates):
Nb (0.000, 0.000, 0.000)  0.72
Al (0.321, 0.321, 0.357)  -0.01
Al (0.679, 0.679, 0.643)  -0.01
O (0.750, 0.250, 0.500)  0.03
O (0.250, 0.750, 0.500)  0.03


Model B:
Density functional theory data (PBE-GGA) for an optimized crystal structure of NbAl2O2.

a b c (Å): 7.226 7.226 2.605
angles (deg): 90.00 90.00 90.00
Atoms (fractional coordinates):
Nb (0.000, 0.000, 0.000)
Nb (0.500, 0.500, 0.000)
Al (0.383, 0.883, 0.000)
Al (0.883, 0.617, 0.000)
Al (0.617, 0.117, 0.000)
Al (0.117, 0.383, 0.000)
O (0.111, 0.611, 0.500)
O (0.611, 0.889, 0.500)
O (0.889, 0.389, 0.500)
O (0.389, 0.111, 0.500)


The least stable of them is model B.


Model A:
Density functional theory data (PBE-GGA) for an optimized crystal structure of NbAlP2O.

a b c (Å): 4.815 4.815 3.351
angles (deg): 90.00 90.00 90.00
Atoms (fractional coordinates):
P (0.000, 0.500, 0.000)
P (0.500, 0.000, 0.000)
Nb (0.500, 0.500, 0.500)
Al (0.000, 0.000, 0.000)
O (0.000, 0.000, 0.500)


Model B:
Density functional theory data (PBE-GGA) for an optimized crystal structure of NbAlP2O.

a b c (Å): 4.948 4.948 3.868
angles (deg): 90.00 90.00 90.00
Atoms (fractional coordinates):
P (0.000, 0.500, 0.000)
P (0.500, 0.000, 0.000)
Nb (0.000, 0.000, 0.000)
Al (0.500, 0.500, 0.500)
O (0.000, 0.000, 0.500)


The least stable of them is model A.